In2Ga2F7 | GGA-PBE | relaxed Values from VASP.

Geometry as Quantum ESPRESSO input:
```
&SYSTEM
  ibrav = 0, nat = 11, ntyp = 3
/
ATOMIC_SPECIES
In 114.82 In.upf
Ga 69.72 Ga.upf
F 19.00 F.upf
ATOMIC_POSITIONS crystal
In 0.2415 0.7585 0.0000
In 0.7585 0.2415 0.0000
Ga 0.2369 0.2369 0.4881
Ga 0.7631 0.7631 0.5119
F 0.0000 0.0000 0.5000
F 0.1172 0.4733 0.3028
F 0.3732 0.3732 0.7606
F 0.4733 0.1172 0.3028
F 0.5267 0.8828 0.6972
F 0.6268 0.6268 0.2394
F 0.8828 0.5267 0.6972
CELL_PARAMETERS angstrom
4.2149 -3.9532 0.0000
4.2149 3.9532 0.0000
-0.5623 0.0000 5.8246
```

E above lowest polymorph (meV per atom): 45.2
Spin magnetization (μB/atom): 0.000
Formation energy without anion corrections (eV per atom): -2.0522
Fermi-level density of states (states/eV/cell): 3.15
Space-group type: No. 12